(1)
VASP calculation (PBE-GGA) on Y6Er2Mg after structural relaxation.

## Properties
- energy of formation from the pure elements (kJ/mol of atoms) = 16.8
- DOS at the Fermi energy (states/eV/cell) = 32.2
- distance to the lowest polymorph of the same formula (meV/atom) = 145.9
- E_tot (eV/cell) = -95.88

abc: 11.2707 3.4658 15.1204
angles: 90.00 98.99 90.00
Space group C2/m (No. 12)
One atom of each set of equivalent atoms:
Y  0.0476  0.0000  0.2275 x4
Y  0.1259  0.5000  0.4386 x4
Y  0.2009  0.5000  0.8996 x4
Er  0.1624  0.5000  0.6702 x4
Mg  0.0000  0.0000  0.0000 x2



(2)
VASP calculation (PBE-GGA) on Y3Er2Mg7 after structural relaxation.

## Properties
- energy of formation from the pure elements (kJ/mol of atoms) = 10.1
- DOS at the Fermi energy (states/eV/cell) = 24.3
- E_tot (eV/cell) = -76.85

abc: 5.1303 25.7145 5.1518
angles: 90.00 90.00 90.00
Space group Cmmm (No. 65)
One atom of each set of equivalent atoms:
Y  0.0000  0.0000  0.0000 x2
Y  0.0000  0.1596  0.0000 x4
Er  0.0000  0.3557  0.5000 x4
Mg  0.0000  0.0724  0.5000 x4
Mg  0.0000  0.2299  0.5000 x4
Mg  0.0000  0.4269  0.0000 x4
Mg  0.0000  0.5000  0.5000 x2



(3)
VASP calculation (PBE-GGA) on Y2ErMg3 after structural relaxation.

## Properties
- energy of formation from the pure elements (kJ/mol of atoms) = -9.1
- DOS at the Fermi energy (states/eV/cell) = 8.9
- E_tot (eV/cell) = -22.84

abc: 3.7964 3.7964 11.3250
angles: 90.00 90.00 90.00
Space group P4/mmm (No. 123)
One atom of each set of equivalent atoms:
Y  0.0000  0.0000  0.1681 x2
Er  0.0000  0.0000  0.5000 x1
Mg  0.5000  0.5000  0.0000 x1
Mg  0.5000  0.5000  0.3359 x2



(4)
VASP calculation (PBE-GGA) on Y5Er4Mg after structural relaxation.

## Properties
- energy of formation from the pure elements (kJ/mol of atoms) = 0.3
- DOS at the Fermi energy (states/eV/cell) = 14.0
- E_tot (eV/cell) = -52.14

abc: 3.5510 3.5510 24.3609
angles: 90.00 90.00 90.00
Space group P4/mmm (No. 123)
One atom of each set of equivalent atoms:
Y  0.0000  0.0000  0.0000 x1
Y  0.0000  0.0000  0.2051 x2
Y  0.0000  0.0000  0.4088 x2
Er  0.5000  0.5000  0.1026 x2
Er  0.5000  0.5000  0.3078 x2
Mg  0.5000  0.5000  0.5000 x1



(5)
VASP calculation (PBE-GGA) on Y12Er3Mg after structural relaxation.

## Properties
- energy of formation from the pure elements (kJ/mol of atoms) = 2.2
- DOS at the Fermi energy (states/eV/cell) = 22.7
- E_tot (eV/cell) = -92.48

abc: 5.0059 5.0059 20.1210
angles: 90.00 90.00 90.00
Space group P4/mmm (No. 123)
One atom of each set of equivalent atoms:
Y  0.0000  0.0000  0.0000 x1
Y  0.0000  0.0000  0.2461 x2
Y  0.0000  0.0000  0.5000 x1
Y  0.0000  0.5000  0.1234 x4
Y  0.0000  0.5000  0.3740 x4
Er  0.5000  0.5000  0.2488 x2
Er  0.5000  0.5000  0.5000 x1
Mg  0.5000  0.5000  0.0000 x1



(6)
VASP calculation (PBE-GGA) on YEr2Mg2 after structural relaxation.

## Properties
- energy of formation from the pure elements (kJ/mol of atoms) = 6.5
- DOS at the Fermi energy (states/eV/cell) = 12.3
- distance to the lowest polymorph of the same formula (meV/atom) = 139.6
- E_tot (eV/cell) = -36.88

abc: 8.9683 8.9683 3.5238
angles: 90.00 90.00 90.00
Space group P4/mbm (No. 127)
One atom of each set of equivalent atoms:
Y  0.0000  0.0000  0.0000 x2
Er  0.1286  0.3714  0.0000 x4
Mg  0.1698  0.6698  0.5000 x4



(7)
VASP calculation (PBE-GGA) on Y2Er7Mg2 after structural relaxation.

## Properties
- energy of formation from the pure elements (kJ/mol of atoms) = 13.9
- DOS at the Fermi energy (states/eV/cell) = 30.6
- E_tot (eV/cell) = -92.95

abc: 9.2787 9.3431 8.0098
angles: 90.00 104.59 90.00
Space group C2/m (No. 12)
One atom of each set of equivalent atoms:
Y  0.0000  0.1806  0.0000 x4
Er  0.0000  0.0000  0.5000 x2
Er  0.1862  0.2952  0.6771 x8
Er  0.1919  0.5000  0.0291 x4
Mg  0.0952  0.5000  0.3527 x4



(8)
VASP calculation (PBE-GGA) on YErMg17 after structural relaxation.

## Properties
- energy of formation from the pure elements (kJ/mol of atoms) = -1.0
- DOS at the Fermi energy (states/eV/cell) = 24.7
- E_tot (eV/cell) = -115.00

abc: 10.2030 10.2030 15.2250
angles: 90.00 90.00 120.00
Space group R3m (No. 160, hexagonal axes)
One atom of each set of equivalent atoms:
Y  0.0000  0.0000  0.0000 x3
Er  0.0000  0.0000  0.3438 x3
Mg  0.0000  0.0000  0.5716 x3
Mg  0.0000  0.0000  0.7703 x3
Mg  0.0074  0.5037  0.8227 x9
Mg  0.0287  0.3613  0.3384 x18
Mg  0.1677  0.3354  0.5056 x9
Mg  0.1720  0.3440  0.8537 x9